Record 1
DFT (GGA-PBEsol) results for crystalline AlSeCl2 at its relaxed geometry.

Computed properties:
Crystal system: orthorhombic
Symmetry: No. 35
Energy relative to the elements, uncorrected, eV/atom: -0.328

Cell: 3.9223 3.9223 7.9469 Å, 90.00 90.00 126.18°
With the nearest neighbours (Å) after each atom.
Fractional positions:
Al: 0.0000 0.0000 0.0000  2 Se 2.38, 2 Cl 2.42
Se: 0.5000 0.5000 0.8004  2 Al 2.38
Cl: 0.0000 0.0000 0.5499  2 Se 2.67
Cl: 0.5000 0.5000 0.2062  2 Al 2.42

Record 2
DFT (GGA-PBEsol) results for crystalline CeCdPd at its relaxed geometry.

Computed properties:
Crystal system: hexagonal
ΔE_f, kJ per mole of atoms: -50.8
Symmetry: No. 189

Cell: 7.5205 7.5205 3.9701 Å, 90.00 90.00 120.00°
With the nearest neighbours (Å) after each atom.
Fractional positions:
Ce: 0.0000 0.5911 0.0000  5 Pd 3.02-3.07, 6 Cd 3.23-3.34
Ce: 0.4089 0.4089 0.0000  5 Pd 3.02-3.07, 6 Cd 3.23-3.34
Ce: 0.5911 0.0000 0.0000  5 Pd 3.02-3.07, 6 Cd 3.23-3.34
Cd: 0.0000 0.2518 0.5000  4 Pd 2.74-2.86
Cd: 0.2518 0.0000 0.5000  4 Pd 2.74-2.86
Cd: 0.7482 0.7482 0.5000  4 Pd 2.74-2.86
Pd: 0.0000 0.0000 0.0000  6 Cd 2.74
Pd: 0.3333 0.6667 0.5000  3 Cd 2.86, 6 Ce 3.02
Pd: 0.6667 0.3333 0.5000  3 Cd 2.86, 6 Ce 3.02

Record 3
DFT (GGA-PBEsol) results for crystalline Ca2MgW at its relaxed geometry.

Computed properties:
Crystal system: monoclinic
ΔE_f, kJ per mole of atoms: 67.2
Symmetry: No. 8

Cell: 6.0331 6.0331 5.7118 Å, 106.76 106.76 28.99°
With the nearest neighbours (Å) after each atom.
Fractional positions:
Ca: 0.0000 0.0000 0.0000  2 Ca 3.02, 3 W 3.17-3.25, 4 Mg 3.23-3.37
Ca: 0.2056 0.2056 0.6181  2 Ca 3.02, 3 Mg 3.15-3.34, 4 W 3.25-3.29
Mg: 0.4387 0.4387 0.4481  2 W 2.81, 2 Mg 3.02
W: 0.7503 0.7503 0.1406  2 Mg 2.81, 2 W 3.02

Record 4
DFT (GGA-PBEsol) results for crystalline NbAuN2O at its relaxed geometry.

Computed properties:
Crystal system: tetragonal
Symmetry: No. 123
Energy relative to the elements, uncorrected, eV/atom: 1.241

Cell: 3.9214 3.9214 3.9298 Å, 90.00 90.00 90.00°
With the nearest neighbours (Å) after each atom.
Fractional positions:
Nb: 0.0000 0.0000 0.0000  4 O 2.77, 8 N 2.78
Au: 0.5000 0.5000 0.5000  4 N 1.96, 2 O 1.96
N: 0.0000 0.5000 0.5000  2 Au 1.96
N: 0.5000 0.0000 0.5000  2 Au 1.96
O: 0.5000 0.5000 0.0000  2 Au 1.96

Record 5
DFT (GGA-PBEsol) results for crystalline Ta2CdPt at its relaxed geometry.

Computed properties:
Crystal system: tetragonal
ΔE_f, kJ per mole of atoms: -20.0
Symmetry: No. 99

Cell: 2.8413 2.8413 8.5556 Å, 90.00 90.00 90.00°
With the nearest neighbours (Å) after each atom.
Fractional positions:
Ta: 0.0000 0.0000 0.0000  4 Pt 2.76, 8 Ta 2.84-3.00
Ta: 0.5000 0.5000 0.2601  8 Ta 2.84-3.00, 4 Cd 3.07
Cd: 0.0000 0.0000 0.5314  4 Cd 2.84, 4 Pt 2.91, 4 Ta 3.07
Pt: 0.5000 0.5000 0.7780  4 Ta 2.76, 4 Pt 2.84, 4 Cd 2.91

Record 6
DFT (GGA-PBEsol) results for crystalline HfTlGe3 at its relaxed geometry.

Computed properties:
Crystal system: cubic
ΔE_f, kJ per mole of atoms: 125.3
Symmetry: No. 221

Cell: 5.0852 5.0852 5.0852 Å, 90.00 90.00 90.00°
With the nearest neighbours (Å) after each atom.
Fractional positions:
Hf: 0.0000 0.0000 0.0000  12 Ge 3.60
Tl: 0.5000 0.5000 0.5000  6 Ge 2.54
Ge: 0.0000 0.5000 0.5000  2 Tl 2.54
Ge: 0.5000 0.0000 0.5000  2 Tl 2.54
Ge: 0.5000 0.5000 0.0000  2 Tl 2.54

Record 7
DFT (GGA-PBEsol) results for crystalline GdMgB5O10 at its relaxed geometry.

Computed properties:
Crystal system: monoclinic
Symmetry: No. 14
Energy relative to the elements, uncorrected, eV/atom: -2.735

Cell: 8.5955 7.5925 12.3520 Å, 90.00 130.73 90.00°
With the nearest neighbours (Å) after each atom.
Fractional positions:
Gd: 0.0522 0.1875 0.2376  7 O 2.29-2.55
Gd: 0.0522 0.3125 0.7376  7 O 2.29-2.55
Gd: 0.9478 0.6875 0.2624  7 O 2.29-2.55
Gd: 0.9478 0.8125 0.7624  7 O 2.29-2.55
Mg: 0.4752 0.5905 0.8729  5 O 2.06-2.18
Mg: 0.4752 0.9095 0.3729  5 O 2.06-2.18
Mg: 0.5248 0.0905 0.6271  5 O 2.06-2.18
Mg: 0.5248 0.4095 0.1271  5 O 2.06-2.18
B: 0.0893 0.6721 0.6064  4 O 1.46-1.48
B: 0.0893 0.8279 0.1064  4 O 1.46-1.48
B: 0.1542 0.5991 0.9977  3 O 1.35-1.39
B: 0.1542 0.9009 0.4977  3 O 1.35-1.39
B: 0.2756 0.0308 0.0532  4 O 1.45-1.50
B: 0.2756 0.4692 0.5532  4 O 1.45-1.50
B: 0.3446 0.5776 0.2607  4 O 1.46-1.49
B: 0.3446 0.9224 0.7607  4 O 1.46-1.49
B: 0.4784 0.1892 0.9124  3 O 1.37-1.38
B: 0.4784 0.3108 0.4124  3 O 1.37-1.38
B: 0.5216 0.6892 0.5876  3 O 1.37-1.38
B: 0.5216 0.8108 0.0876  3 O 1.37-1.38
B: 0.6554 0.0776 0.2393  4 O 1.46-1.49
B: 0.6554 0.4224 0.7393  4 O 1.46-1.49
B: 0.7244 0.5308 0.4468  4 O 1.45-1.50
B: 0.7244 0.9692 0.9468  4 O 1.45-1.50
B: 0.8458 0.0991 0.5023  3 O 1.35-1.39
B: 0.8458 0.4009 0.0023  3 O 1.35-1.39
B: 0.9107 0.1721 0.8936  4 O 1.46-1.48
B: 0.9107 0.3279 0.3936  4 O 1.46-1.48
O: 0.0247 0.7274 0.9819  2 B 1.39-1.46
O: 0.0247 0.7726 0.4819  2 B 1.39-1.46
O: 0.0899 0.1046 0.9152  2 B 1.47-1.49
O: 0.0899 0.3954 0.4152  2 B 1.47-1.49
O: 0.1166 0.5467 0.8780  1 B 1.35
O: 0.1166 0.9533 0.3780  1 B 1.35
O: 0.1999 0.7129 0.2339  2 B 1.48
O: 0.1999 0.7871 0.7339  2 B 1.48
O: 0.2345 0.5271 0.6477  2 B 1.48-1.49
O: 0.2345 0.9729 0.1477  2 B 1.48-1.49
O: 0.3142 0.0876 0.8057  2 B 1.38-1.46
O: 0.3142 0.4124 0.3057  2 B 1.38-1.46
O: 0.3152 0.5348 0.1305  2 B 1.37-1.49
O: 0.3152 0.9652 0.6305  2 B 1.37-1.49
O: 0.3244 0.6289 0.5083  2 B 1.37-1.50
O: 0.3244 0.8711 0.0083  2 B 1.37-1.50
O: 0.4235 0.1488 0.4270  1 B 1.37
O: 0.4235 0.3512 0.9270  1 B 1.37
O: 0.4495 0.1509 0.1307  2 B 1.45-1.46
O: 0.4495 0.3491 0.6307  2 B 1.45-1.46
O: 0.5505 0.6509 0.3693  2 B 1.45-1.46
O: 0.5505 0.8491 0.8693  2 B 1.45-1.46
O: 0.5765 0.6488 0.0730  1 B 1.37
O: 0.5765 0.8512 0.5730  1 B 1.37
O: 0.6756 0.1289 0.9917  2 B 1.37-1.50
O: 0.6756 0.3711 0.4917  2 B 1.37-1.50
O: 0.6848 0.0348 0.3695  2 B 1.37-1.49
O: 0.6848 0.4652 0.8695  2 B 1.37-1.49
O: 0.6858 0.5876 0.6943  2 B 1.38-1.46
O: 0.6858 0.9124 0.1943  2 B 1.38-1.46
O: 0.7655 0.0271 0.8523  2 B 1.48-1.49
O: 0.7655 0.4729 0.3523  2 B 1.48-1.49
O: 0.8001 0.2129 0.2661  2 B 1.48
O: 0.8001 0.2871 0.7661  2 B 1.48
O: 0.8834 0.0467 0.6220  1 B 1.35
O: 0.8834 0.4533 0.1220  1 B 1.35
O: 0.9101 0.6046 0.5848  2 B 1.47-1.49
O: 0.9101 0.8954 0.0848  2 B 1.47-1.49
O: 0.9753 0.2274 0.5181  2 B 1.39-1.46
O: 0.9753 0.2726 0.0181  2 B 1.39-1.46

Record 8
DFT (GGA-PBEsol) results for crystalline LaSc2 at its relaxed geometry.

Computed properties:
Crystal system: monoclinic
ΔE_f, kJ per mole of atoms: 5.9
Symmetry: No. 12

Cell: 6.3880 6.3880 7.8405 Å, 103.07 103.07 31.51°
With the nearest neighbours (Å) after each atom.
Fractional positions:
La: 0.0209 0.0209 0.2941  9 Sc 3.32-3.54, 3 La 3.39-3.47
La: 0.9791 0.9791 0.7059  9 Sc 3.32-3.54, 3 La 3.39-3.47
Sc: 0.2974 0.2974 0.3592  7 Sc 3.23-3.47, 5 La 3.32-3.54
Sc: 0.3482 0.3482 0.9705  5 Sc 3.10-3.27, 4 La 3.38-3.39
Sc: 0.6518 0.6518 0.0295  5 Sc 3.10-3.27, 4 La 3.38-3.39
Sc: 0.7026 0.7026 0.6408  7 Sc 3.23-3.47, 5 La 3.32-3.54

Record 9
DFT (GGA-PBEsol) results for crystalline ScSnAu3 at its relaxed geometry.

Computed properties:
Crystal system: cubic
ΔE_f, kJ per mole of atoms: 38.0
Symmetry: No. 221

Cell: 5.0102 5.0102 5.0102 Å, 90.00 90.00 90.00°
With the nearest neighbours (Å) after each atom.
Fractional positions:
Sc: 0.0000 0.0000 0.0000  12 Au 3.54
Sn: 0.5000 0.5000 0.5000  6 Au 2.51
Au: 0.0000 0.5000 0.5000  2 Sn 2.51
Au: 0.5000 0.0000 0.5000  2 Sn 2.51
Au: 0.5000 0.5000 0.0000  2 Sn 2.51

Record 10
DFT (GGA-PBEsol) results for crystalline Tl2Cd at its relaxed geometry.

Computed properties:
Crystal system: hexagonal
ΔE_f, kJ per mole of atoms: 4.6
Symmetry: No. 189

Cell: 8.6455 8.6455 3.6438 Å, 90.00 90.00 120.00°
With the nearest neighbours (Å) after each atom.
Fractional positions:
Tl: 0.0000 0.3821 0.0000  5 Cd 3.25-3.30, 8 Tl 3.40-3.64
Tl: 0.0000 0.7144 0.5000  4 Cd 3.07-3.11, 2 Tl 3.40
Tl: 0.2856 0.2856 0.5000  4 Cd 3.07-3.11, 2 Tl 3.40
Tl: 0.3821 0.0000 0.0000  5 Cd 3.25-3.30, 8 Tl 3.40-3.64
Tl: 0.6179 0.6179 0.0000  5 Cd 3.25-3.30, 8 Tl 3.40-3.64
Tl: 0.7144 0.0000 0.5000  4 Cd 3.07-3.11, 2 Tl 3.40
Cd: 0.0000 0.0000 0.0000  9 Tl 3.07-3.30
Cd: 0.3333 0.6667 0.5000  9 Tl 3.11-3.25
Cd: 0.6667 0.3333 0.5000  9 Tl 3.11-3.25

Record 11
DFT (GGA-PBEsol) results for crystalline CaSiPt at its relaxed geometry.

Computed properties:
Crystal system: hexagonal
Symmetry: No. 187
Energy relative to the elements, uncorrected, eV/atom: -0.921

Cell: 4.0758 4.0758 4.2753 Å, 90.00 90.00 120.00°
With the nearest neighbours (Å) after each atom.
Fractional positions:
Ca: 0.0000 0.0000 0.0000  6 Pt 3.18, 6 Si 3.18
Si: 0.6667 0.3333 0.5000  3 Pt 2.35
Pt: 0.3333 0.6667 0.5000  3 Si 2.35

Record 12
DFT (GGA-PBEsol) results for crystalline InMoI2N at its relaxed geometry.

Computed properties:
Crystal system: tetragonal
Symmetry: No. 123
Energy relative to the elements, uncorrected, eV/atom: 1.324

Cell: 5.9362 5.9362 3.9343 Å, 90.00 90.00 90.00°
With the nearest neighbours (Å) after each atom.
Fractional positions:
In: 0.0000 0.0000 0.0000  2 N 1.97
Mo: 0.5000 0.5000 0.5000  8 I 3.56, 2 Mo 3.93
I: 0.0000 0.5000 0.0000  2 In 2.97
I: 0.5000 0.0000 0.0000  2 In 2.97
N: 0.0000 0.0000 0.5000  2 In 1.97